# 1
Entry from Alexandria via LeMat-Bulk: a relaxed structure of Tl5Sn4Bi (GGA-PBE).

Calculated values
- Mass density: 9.51 g/cm3
- Uncorrected energy: -31.4 eV per cell
- V: 29.8 Å³/atom

a b c (Å): 3.4577 3.4577 24.9078
angles (deg): 90.00 90.00 90.00
Atoms (fractional coordinates):
Tl (0.0000, 0.0000, 0.0000)
Tl (0.0000, 0.0000, 0.1961)
Tl (0.0000, 0.0000, 0.3949)
Tl (0.0000, 0.0000, 0.6051)
Tl (0.0000, 0.0000, 0.8039)
Sn (0.5000, 0.5000, 0.0979)
Sn (0.5000, 0.5000, 0.2945)
Sn (0.5000, 0.5000, 0.7055)
Sn (0.5000, 0.5000, 0.9021)
Bi (0.5000, 0.5000, 0.5000)

---

# 2
Entry from Alexandria via LeMat-Bulk: a relaxed structure of Tl2SnBi (GGA-PBE).

Calculated values
- Mass density: 9.96 g/cm3
- Energy above the most stable polymorph in this dataset: 6.8 kJ/mol of atoms
- V: 30.7 Å³/atom

a b c (Å): 5.5780 5.5780 5.5780
angles (deg): 60.00 60.00 60.00
Atoms (fractional coordinates):
Tl (0.2500, 0.2500, 0.2500)
Tl (0.7500, 0.7500, 0.7500)
Sn (0.0000, 0.0000, 0.0000)
Bi (0.5000, 0.5000, 0.5000)

---

Total magnetization? In order: 0.0 0.0 μB/cell.
D(E_F)? In order: 0.4338 0.5169 states/eV/atom.